# 1
TbNdTh2: relaxed, PBE.

Values from the calculation:
Crystal system: tetragonal
Space-group type: P4/mmm (123)
N(E_F), states/eV/cell: 6.08
Total magnetization, μB per atom: 0.000
ΔE_f, meV/atom: 72

Cell lengths 5.030, 5.030, 5.178 Å; angles 90.00, 90.00, 90.00 degrees
Positions (direct):
1 Tb 0.000 0.000 0.000
2 Nd 0.500 0.500 0.000
3 Th 0.000 0.500 0.500
4 Th 0.500 0.000 0.500

# 2
LaHfNi10: relaxed, PBE.

Values from the calculation:
Crystal system: orthorhombic
Space-group type: Pmmm (47)
N(E_F), states/eV/cell: 13.40
Total magnetization, μB per atom: 0.209
ΔE_f, meV/atom: -282

Cell lengths 3.972, 4.846, 8.444 Å; angles 90.00, 90.00, 90.00 degrees
Positions (direct):
1 La 0.000 0.000 0.000
2 Hf 0.000 0.500 0.500
3 Ni 0.000 0.000 0.344
4 Ni 0.000 0.000 0.656
5 Ni 0.000 0.500 0.183
6 Ni 0.000 0.500 0.817
7 Ni 0.500 0.000 0.500
8 Ni 0.500 0.257 0.263
9 Ni 0.500 0.257 0.737
10 Ni 0.500 0.500 0.000
11 Ni 0.500 0.743 0.263
12 Ni 0.500 0.743 0.737

> What is the ΔE_f in the second record?

-282 meV/atom

> The highest N(E_F) belongs to which entry?

LaHfNi10

> The lowest total magnetization belongs to which entry?

TbNdTh2

> ΔE_f of number 1 (TbNdTh2)?

72 meV/atom